Computed, not measured: a PBEsol-optimized structure of BeIr2Rh at the meta-GGA SCAN level of DFT.

Values from the calculation:
Symmetry: Cmm2
Volume in Å³/f.u.: 51.7
Formation energy in eV/atom: 0.00
Total moment in μB per cell: 0.00

Unit cell a=2.6661 b=2.6661 c=8.3647 alpha=90.00 beta=90.00 gamma=119.60
Closest atoms and distances in Å follow each position.
Fractional positions:
Be (0.5000, 0.5000, 0.2523)  2 Rh 2.27, 2 Ir 2.30
Ir (0.0000, 0.0000, 0.0286)  2 Be 2.30
Ir (0.5000, 0.5000, 0.7478)  8 Ir 2.67-2.70, 2 Rh 2.67
Rh (0.0000, 0.0000, 0.4712)  2 Be 2.27

---

Computed, not measured: a PBEsol-optimized structure of ZrTeCl2 at the meta-GGA SCAN level of DFT.

Values from the calculation:
Symmetry: Imm2
Energy relative to the lowest polymorph listed for this composition in meV per atom: 273
Volume in Å³/f.u.: 106.6
Total moment in μB per cell: 0.00
Energy relative to the elements, uncorrected in meV per atom: -1236

Unit cell a=3.1033 b=4.7218 c=7.8012 alpha=107.62 beta=101.47 gamma=90.00
Closest atoms and distances in Å follow each position.
Fractional positions:
Te (0.4136, 0.4136, 0.8273)  2 Zr 2.92, 2 Te 3.10
Zr (0.7433, 0.2433, 0.4866)  6 Cl 2.54-2.83
Cl (0.1048, 0.1048, 0.2096)  2 Zr 2.54
Cl (0.2383, 0.7383, 0.4765)  4 Zr 2.83, 4 Cl 3.06-3.10

---

Computed, not measured: a PBEsol-optimized structure of Na3CrBAsO7 at the meta-GGA SCAN level of DFT.

Values from the calculation:
Symmetry: P2_1/m
Volume in Å³/f.u.: 157.0
Total moment in μB per cell: 6.00
Energy relative to the elements, uncorrected in meV per atom: -2144

Unit cell a=5.2791 b=6.6019 c=9.0157 alpha=90.00 beta=92.01 gamma=90.00
Closest atoms and distances in Å follow each position.
Fractional positions:
Na (0.7623, 0.2500, 0.4273)  4 O 2.32-2.51
Na (0.2377, 0.7500, 0.5727)  4 O 2.32-2.51
Na (0.2466, 0.0013, 0.2539)  5 O 2.24-2.50
Na (0.2466, 0.4987, 0.2539)  5 O 2.24-2.50
Na (0.7534, 0.5013, 0.7461)  5 O 2.24-2.50
Na (0.7534, 0.9987, 0.7461)  5 O 2.24-2.50
Cr (0.7801, 0.7500, 0.1724)  6 O 1.95-2.03
Cr (0.2199, 0.2500, 0.8276)  6 O 1.95-2.03
B (0.7218, 0.7500, 0.4342)  3 O 1.34-1.41
B (0.2782, 0.2500, 0.5658)  3 O 1.34-1.41
As (0.7154, 0.2500, 0.0751)  4 O 1.70-1.73
As (0.2846, 0.7500, 0.9249)  4 O 1.70-1.73
O (0.3138, 0.2500, 0.4192)  1 B 1.34
O (0.6862, 0.7500, 0.5808)  1 B 1.34
O (0.9586, 0.7500, 0.3677)  1 B 1.40
O (0.0414, 0.2500, 0.6323)  1 B 1.40
O (0.5268, 0.7500, 0.3240)  1 B 1.41
O (0.4732, 0.2500, 0.6760)  1 B 1.41
O (0.3947, 0.2500, 0.0312)  1 As 1.73
O (0.6053, 0.7500, 0.9688)  1 As 1.73
O (0.1231, 0.7500, 0.0846)  1 As 1.70
O (0.8769, 0.2500, 0.9154)  1 As 1.70
O (0.7909, 0.0511, 0.1913)  1 As 1.72
O (0.7909, 0.4489, 0.1913)  1 As 1.72
O (0.2091, 0.5511, 0.8087)  1 As 1.72
O (0.2091, 0.9489, 0.8087)  1 As 1.72

---

Computed, not measured: a PBEsol-optimized structure of TaTl2ReSn at the meta-GGA SCAN level of DFT.

Values from the calculation:
Symmetry: P4/mmm
Volume in Å³/f.u.: 140.7
Formation energy in eV/atom: 2.31
Total moment in μB per cell: 0.17

Unit cell a=5.0017 b=5.3032 c=5.3032 alpha=90.00 beta=90.00 gamma=90.00
Closest atoms and distances in Å follow each position.
Fractional positions:
Re (0.5000, 0.0000, 0.0000)  2 Sn 2.50
Tl (0.0000, 0.0000, 0.5000)  2 Sn 2.65
Tl (0.0000, 0.5000, 0.0000)  2 Sn 2.65
Sn (0.0000, 0.0000, 0.0000)  2 Re 2.50, 4 Tl 2.65
Ta (0.5000, 0.5000, 0.5000)  8 Tl 3.64, 4 Re 3.75

---

Computed, not measured: a PBEsol-optimized structure of KLiO2F at the meta-GGA SCAN level of DFT.

Values from the calculation:
Symmetry: P4/mmm
Volume in Å³/f.u.: 62.3
Total moment in μB per cell: 3.00
Energy relative to the elements, uncorrected in meV per atom: -1187

Unit cell a=3.8725 b=3.8725 c=4.1537 alpha=90.00 beta=90.00 gamma=90.00
Closest atoms and distances in Å follow each position.
Fractional positions:
K (0.5000, 0.5000, 0.5000)  4 F 2.74, 8 O 2.84
Li (0.0000, 0.0000, 0.0000)  4 O 1.94, 2 F 2.08
O (0.0000, 0.5000, 0.0000)  2 Li 1.94
O (0.5000, 0.0000, 0.0000)  2 Li 1.94
F (0.0000, 0.0000, 0.5000)  2 Li 2.08

---

Computed, not measured: a PBEsol-optimized structure of Al2CoO4 at the meta-GGA SCAN level of DFT.

Values from the calculation:
Symmetry: Fd-3m
Volume in Å³/f.u.: 66.1
Total moment in μB per cell: 6.00
Energy relative to the elements, uncorrected in meV per atom: -2778

Unit cell a=5.7184 b=5.7184 c=5.7184 alpha=60.00 beta=60.00 gamma=60.00
Closest atoms and distances in Å follow each position.
Fractional positions:
Co (0.0000, 0.0000, 0.0000)  4 O 1.94
Co (0.2500, 0.2500, 0.2500)  4 O 1.94
Al (0.1250, 0.6250, 0.6250)  6 O 1.92
Al (0.6250, 0.1250, 0.6250)  6 O 1.92
Al (0.6250, 0.6250, 0.6250)  6 O 1.92
Al (0.6250, 0.6250, 0.1250)  6 O 1.92
O (0.8335, 0.3888, 0.3888)  3 Al 1.92, 1 Co 1.94
O (0.8612, 0.4165, 0.8612)  3 Al 1.92, 1 Co 1.94
O (0.4165, 0.8612, 0.8612)  3 Al 1.92, 1 Co 1.94
O (0.3888, 0.8335, 0.3888)  3 Al 1.92, 1 Co 1.94
O (0.3888, 0.3888, 0.3888)  3 Al 1.92, 1 Co 1.94
O (0.3888, 0.3888, 0.8335)  3 Al 1.92, 1 Co 1.94
O (0.8612, 0.8612, 0.4165)  3 Al 1.92, 1 Co 1.94
O (0.8612, 0.8612, 0.8612)  3 Al 1.92, 1 Co 1.94

---

Computed, not measured: a PBEsol-optimized structure of SrNbPt2Au at the meta-GGA SCAN level of DFT.

Values from the calculation:
Symmetry: P4/mmm
Volume in Å³/f.u.: 123.1
Formation energy in eV/atom: 0.51
Total moment in μB per cell: 1.67

Unit cell a=4.7779 b=5.0758 c=5.0758 alpha=90.00 beta=90.00 gamma=90.00
Closest atoms and distances in Å follow each position.
Fractional positions:
Sr (0.5000, 0.5000, 0.5000)  8 Pt 3.49, 4 Nb 3.59
Nb (0.5000, 0.0000, 0.0000)  2 Au 2.39
Au (0.0000, 0.0000, 0.0000)  2 Nb 2.39, 4 Pt 2.54
Pt (0.0000, 0.0000, 0.5000)  2 Au 2.54
Pt (0.0000, 0.5000, 0.0000)  2 Au 2.54

---

Computed, not measured: a PBEsol-optimized structure of HfTlPb3 at the meta-GGA SCAN level of DFT.

Values from the calculation:
Symmetry: Pm-3m
Volume in Å³/f.u.: 174.4
Formation energy in eV/atom: 1.22
Total moment in μB per cell: 0.00

Unit cell a=5.5874 b=5.5874 c=5.5874 alpha=90.00 beta=90.00 gamma=90.00
Closest atoms and distances in Å follow each position.
Fractional positions:
Pb (0.0000, 0.5000, 0.0000)  2 Tl 2.79
Pb (0.0000, 0.0000, 0.5000)  2 Tl 2.79
Pb (0.5000, 0.0000, 0.0000)  2 Tl 2.79
Tl (0.0000, 0.0000, 0.0000)  6 Pb 2.79
Hf (0.5000, 0.5000, 0.5000)  12 Pb 3.95

---

Computed, not measured: a PBEsol-optimized structure of Mg2Tl2N at the meta-GGA SCAN level of DFT.

Values from the calculation:
Symmetry: I4/mmm
Volume in Å³/f.u.: 118.6
Total moment in μB per cell: 0.77
Energy relative to the elements, uncorrected in meV per atom: 1012

Unit cell a=3.9059 b=3.9059 c=8.2506 alpha=103.69 beta=103.69 gamma=90.00
Closest atoms and distances in Å follow each position.
Fractional positions:
Tl (0.2500, 0.7500, 0.5000)  4 Tl 2.76
Tl (0.7500, 0.2500, 0.5000)  4 Tl 2.76
Mg (0.4147, 0.4147, 0.8294)  1 Mg 2.65
Mg (0.5853, 0.5853, 0.1706)  1 Mg 2.65
N (0.0000, 0.0000, 0.0000)  8 Mg 3.06

---

Computed, not measured: a PBEsol-optimized structure of Li2MgCo3O8 at the meta-GGA SCAN level of DFT.

Values from the calculation:
Symmetry: C2/m
Volume in Å³/f.u.: 131.5
Total moment in μB per cell: 2.05
Energy relative to the elements, uncorrected in meV per atom: -1693

Unit cell a=5.6283 b=5.7496 c=8.1302 alpha=91.42 beta=90.00 gamma=90.00
Closest atoms and distances in Å follow each position.
Fractional positions:
Li (0.0000, 0.0000, 0.0000)  6 O 2.15-2.18
Li (0.5000, 0.5000, 0.5000)  6 O 2.15-2.18
Li (0.5000, 0.0000, 0.0000)  6 O 2.04-2.07
Li (0.0000, 0.5000, 0.5000)  6 O 2.04-2.07
Mg (0.0000, 0.5000, 0.0000)  6 O 2.01-2.02
Mg (0.5000, 0.0000, 0.5000)  6 O 2.01-2.02
Co (0.0000, 0.0000, 0.5000)  6 O 1.88-1.91
Co (0.2500, 0.2500, 0.7500)  6 O 1.84-1.88
Co (0.2500, 0.7500, 0.2500)  6 O 1.84-1.88
Co (0.5000, 0.5000, 0.0000)  6 O 1.88-1.91
Co (0.7500, 0.7500, 0.2500)  6 O 1.84-1.88
Co (0.7500, 0.2500, 0.7500)  6 O 1.84-1.88
O (0.5000, 0.5328, 0.2340)  3 Co 1.88-1.91
O (0.0000, 0.0328, 0.7340)  3 Co 1.88-1.91
O (0.0000, 0.9672, 0.2660)  3 Co 1.88-1.91
O (0.5000, 0.4672, 0.7660)  3 Co 1.88-1.91
O (0.0000, 0.5441, 0.2478)  2 Co 1.84, 1 Mg 2.02
O (0.5000, 0.0440, 0.7478)  2 Co 1.84, 1 Mg 2.02
O (0.5000, 0.9560, 0.2522)  2 Co 1.84, 1 Mg 2.02
O (0.0000, 0.4559, 0.7522)  2 Co 1.84, 1 Mg 2.02
O (0.2346, 0.7677, 0.4793)  2 Co 1.87-1.88, 1 Mg 2.01, 1 Li 2.04
O (0.7346, 0.2676, 0.9793)  2 Co 1.87-1.88, 1 Mg 2.01, 1 Li 2.04
O (0.7654, 0.7677, 0.4793)  2 Co 1.87-1.88, 1 Mg 2.01, 1 Li 2.04
O (0.2654, 0.2676, 0.9793)  2 Co 1.87-1.88, 1 Mg 2.01, 1 Li 2.04
O (0.7346, 0.7324, 0.0207)  2 Co 1.87-1.88, 1 Mg 2.01, 1 Li 2.04
O (0.2346, 0.2323, 0.5207)  2 Co 1.87-1.88, 1 Mg 2.01, 1 Li 2.04
O (0.2654, 0.7324, 0.0207)  2 Co 1.87-1.88, 1 Mg 2.01, 1 Li 2.04
O (0.7654, 0.2323, 0.5207)  2 Co 1.87-1.88, 1 Mg 2.01, 1 Li 2.04

---

Computed, not measured: a PBEsol-optimized structure of NaHfSn3 at the meta-GGA SCAN level of DFT.

Values from the calculation:
Symmetry: Pm-3m
Volume in Å³/f.u.: 133.6
Formation energy in eV/atom: 1.00
Total moment in μB per cell: 0.00

Unit cell a=5.1123 b=5.1123 c=5.1123 alpha=90.00 beta=90.00 gamma=90.00
Closest atoms and distances in Å follow each position.
Fractional positions:
Na (0.0000, 0.0000, 0.0000)  6 Sn 2.56
Hf (0.5000, 0.5000, 0.5000)  12 Sn 3.61
Sn (0.0000, 0.5000, 0.0000)  2 Na 2.56
Sn (0.0000, 0.0000, 0.5000)  2 Na 2.56
Sn (0.5000, 0.0000, 0.0000)  2 Na 2.56

---

Computed, not measured: a PBEsol-optimized structure of SrMg2Cu at the meta-GGA SCAN level of DFT.

Values from the calculation:
Symmetry: Cmmm
Volume in Å³/f.u.: 108.0
Formation energy in eV/atom: 0.06
Total moment in μB per cell: 0.00

Unit cell a=5.2237 b=4.2991 c=5.2269 alpha=90.00 beta=113.06 gamma=90.00
Closest atoms and distances in Å follow each position.
Fractional positions:
Cu (0.0000, 0.5000, 0.5000)  4 Mg 2.62, 2 Sr 2.88
Mg (0.8288, 0.0000, 0.6723)  2 Cu 2.62
Mg (0.1712, 0.0000, 0.3277)  2 Cu 2.62
Sr (0.5000, 0.5000, 0.0000)  2 Cu 2.88